1:
The following is a DFT calculation (GGA-PBE) of crystalline LiY2CdH at its relaxed geometry.

The value obtained for the spin magnetization is 0.777 μB per formula unit. As for the crystal system: tetragonal.

Cell lengths 5.060, 5.060, 3.925 Å; angles 90.00, 90.00, 90.00 degrees
Space group P4/mmm (No. 123)
Unique sites:
Li1 0.000 0.000 0.000
Y1 0.000 0.500 0.500
Cd1 0.500 0.500 0.000
H1 0.000 0.000 0.500


2:
The following is a DFT calculation (GGA-PBE) of crystalline LiY2CdH at its relaxed geometry.

The value obtained for the spin magnetization is 0.562 μB per formula unit. As for the crystal system: tetragonal.

Cell lengths 4.927, 4.927, 4.283 Å; angles 90.00, 90.00, 90.00 degrees
Space group P4/mmm (No. 123)
Unique sites:
Li1 0.000 0.000 0.000
Y1 0.000 0.500 0.500
Cd1 0.500 0.500 0.000
H1 0.500 0.500 0.500


Stability summary - winner: 1; margin: 15.0 kJ/mol of atoms.


1:
The following is a DFT calculation (GGA-PBE) of crystalline Li2ZnCdH at its relaxed geometry.

The value obtained for the spin magnetization is 0.000 μB per formula unit. As for the crystal system: tetragonal.

Cell lengths 4.010, 4.010, 4.351 Å; angles 90.00, 90.00, 90.00 degrees
Space group P4/mmm (No. 123)
Unique sites:
Li1 0.000 0.500 0.000
Zn1 0.000 0.000 0.500
Cd1 0.500 0.500 0.500
H1 0.500 0.500 0.000


2:
The following is a DFT calculation (GGA-PBE) of crystalline Li2ZnCdH at its relaxed geometry.

The value obtained for the spin magnetization is 0.000 μB per formula unit. As for the crystal system: tetragonal.

Cell lengths 4.114, 4.114, 4.002 Å; angles 90.00, 90.00, 90.00 degrees
Space group P4/mmm (No. 123)
Unique sites:
Li1 0.000 0.500 0.000
Zn1 0.000 0.000 0.500
Cd1 0.500 0.500 0.500
H1 0.000 0.000 0.000


Stability summary - winner: 2; margin: 3.5 kJ/mol of atoms.


1:
The following is a DFT calculation (GGA-PBE) of crystalline MgCd2H at its relaxed geometry.

The value obtained for the spin magnetization is 0.000 μB per formula unit. As for the crystal system: tetragonal.

Cell lengths 7.356, 7.356, 5.309 Å; angles 90.00, 90.00, 90.00 degrees
Space group I-42d (No. 122)
Unique sites:
Mg1 0.000 0.000 0.000
Cd1 0.169 0.250 0.625
H1 0.000 0.000 0.500


2:
The following is a DFT calculation (GGA-PBE) of crystalline MgCd2H at its relaxed geometry.

The value obtained for the spin magnetization is 0.040 μB per formula unit. As for the crystal system: cubic.

Cell lengths 6.764, 6.764, 6.764 Å; angles 90.00, 90.00, 90.00 degrees
Space group Fm-3m (No. 225)
Unique sites:
Mg1 0.000 0.000 0.000
Cd1 0.250 0.250 0.250
H1 0.000 0.000 0.500


Stability summary - winner: 1; margin: 25.3 kJ/mol of atoms.


1:
The following is a DFT calculation (GGA-PBE) of crystalline MgCdH at its relaxed geometry.

The value obtained for the spin magnetization is 0.000 μB per formula unit. As for the crystal system: trigonal.

Cell lengths 3.3330, 3.3330, 5.0901 Å; angles 90.00, 90.00, 120.00 degrees
Space group P3m1 (No. 156)
Unique sites:
Mg1 0.0000 0.0000 0.0000
Cd1 0.3333 0.6667 0.5215
H1 0.6667 0.3333 0.0774


2:
The following is a DFT calculation (GGA-PBE) of crystalline MgCdH at its relaxed geometry.

The value obtained for the spin magnetization is 0.000 μB per formula unit. As for the crystal system: triclinic.

Cell lengths 3.076, 3.077, 14.998 Å; angles 85.99, 84.16, 60.01 degrees
Space group P-1 (No. 2)
Unique sites:
Mg1 0.126 0.159 0.090
Cd1 0.387 0.469 0.267
H1 0.007 0.022 0.475


Stability summary - winner: 2; margin: 7.2 kJ/mol of atoms.